Entry 1:
{"formula": "Li2SnBiS4", "functional": "PBE-GGA", "state": "relaxed", "space_group": "Pmn2_1 (31)", "crystal_system": "orthorhombic", "e_form_raw_ev_per_fu": -5.35, "lattice_angstrom": [[6.5935, 0.0000, 0.0000], [0.0000, 6.4801, 0.0000], [0.0000, 0.0000, 9.3409]], "species": ["Li", "Li", "Li", "Li", "Sn", "Sn", "Bi", "Bi", "S", "S", "S", "S", "S", "S", "S", "S"], "fractional_positions": [[0.4915, 0.3207, 0.2517], [0.4915, 0.3207, 0.7483], [0.9915, 0.6793, 0.7517], [0.9915, 0.6793, 0.2483], [0.4977, 0.8158, 0.5000], [0.9977, 0.1842, 0.0000], [0.9851, 0.1993, 0.5000], [0.4851, 0.8007, 0.0000], [0.3825, 0.1944, 0.0000], [0.8825, 0.8056, 0.5000], [0.4251, 0.1923, 0.5000], [0.9251, 0.8077, 0.0000], [0.3633, 0.6795, 0.7321], [0.8633, 0.3205, 0.2321], [0.8633, 0.3205, 0.7679], [0.3633, 0.6795, 0.2679]]}

---

Entry 2:
{"formula": "K2NiPdSe4", "functional": "PBE-GGA", "state": "relaxed", "space_group": "Fddd (70)", "crystal_system": "orthorhombic", "e_form_raw_ev_per_fu": -4.51, "lattice_angstrom": [[5.7774, 0.0000, 0.0000], [2.8887, 6.7625, 0.0000], [2.8887, 0.0000, 10.7671]], "species": ["K", "K", "K", "K", "Ni", "Ni", "Pd", "Pd", "Se", "Se", "Se", "Se", "Se", "Se", "Se", "Se"], "fractional_positions": [[0.1871, 0.0000, 0.6258], [0.8129, 0.0000, 0.3742], [0.5629, 0.5000, 0.8742], [0.9371, 0.5000, 0.1258], [0.2500, 0.5000, 0.5000], [0.5000, 0.0000, 0.0000], [0.7500, 0.5000, 0.5000], [0.0000, 0.0000, 0.0000], [0.3088, 0.8043, 0.1305], [0.2436, 0.1957, 0.8695], [0.8868, 0.8043, 0.8695], [0.5607, 0.1957, 0.1305], [0.4412, 0.6957, 0.3695], [0.5064, 0.3043, 0.6305], [0.8632, 0.6957, 0.6305], [0.1893, 0.3043, 0.3695]]}

---

Entry 3:
{"formula": "TaPbCl2", "functional": "PBE-GGA", "state": "relaxed", "space_group": "I-42d (122)", "crystal_system": "tetragonal", "de_polymorph_mev_per_atom": 672.8, "e_form_raw_ev_per_fu": 0.74, "lattice_angstrom": [[-4.0695, 1.5237, -1.0321], [-1.8197, -2.9575, 2.8088], [-2.3829, 5.3727, 7.6642]], "species": ["Pb", "Pb", "Cl", "Cl", "Cl", "Cl", "Ta", "Ta"], "fractional_positions": [[0.0000, 0.0000, 0.0000], [0.7500, 0.2500, 0.5000], [0.5799, 0.1250, 0.2500], [0.1701, 0.6250, 0.2500], [0.3750, 0.4201, 0.7500], [0.8750, 0.8299, 0.7500], [0.5000, 0.5000, 0.0000], [0.2500, 0.7500, 0.5000]]}

---

Entry 4:
{"formula": "U2CuRh9", "functional": "PBE-GGA", "state": "relaxed", "space_group": "P4/mmm (123)", "crystal_system": "tetragonal", "delta_e_f_ev_per_fu": -5.0, "lattice_angstrom": [[3.9982, 0.0000, 0.0000], [0.0000, 3.9982, 0.0000], [0.0000, 0.0000, 11.6628]], "species": ["U", "U", "Cu", "Rh", "Rh", "Rh", "Rh", "Rh", "Rh", "Rh", "Rh", "Rh"], "fractional_positions": [[0.0000, 0.0000, 0.3233], [0.0000, 0.0000, 0.6767], [0.0000, 0.0000, 0.0000], [0.5000, 0.5000, 0.0000], [0.5000, 0.5000, 0.3298], [0.5000, 0.5000, 0.6702], [0.5000, 0.0000, 0.1590], [0.5000, 0.0000, 0.5000], [0.5000, 0.0000, 0.8410], [0.0000, 0.5000, 0.1590], [0.0000, 0.5000, 0.5000], [0.0000, 0.5000, 0.8410]]}

---

Entry 5:
{"formula": "Ag4SbPb", "functional": "PBE-GGA", "state": "relaxed", "space_group": "F-43m (216)", "crystal_system": "cubic", "e_form_raw_ev_per_fu": 0.43, "lattice_angstrom": [[-0.8163, -2.3014, -5.1432], [4.3150, -2.5611, -2.6901], [0.0102, -5.6595, -0.6205]], "species": ["Ag", "Ag", "Ag", "Ag", "Pb", "Sb"], "fractional_positions": [[0.1250, 0.6250, 0.6250], [0.6250, 0.6250, 0.6250], [0.6250, 0.1250, 0.6250], [0.6250, 0.6250, 0.1250], [0.2500, 0.2500, 0.2500], [0.0000, 0.0000, 0.0000]]}

---

Entry 6:
{"formula": "GdHo2Al", "functional": "PBE-GGA", "state": "relaxed", "space_group": "P4/mmm (123)", "crystal_system": "tetragonal", "de_polymorph_mev_per_atom": 4.8, "delta_e_f_ev_per_fu": -0.8, "lattice_angstrom": [[3.5202, 0.0000, 0.0000], [0.0000, 3.5202, 0.0000], [0.0000, 0.0000, 8.9346]], "species": ["Gd", "Ho", "Ho", "Al"], "fractional_positions": [[0.5000, 0.5000, 0.5000], [0.0000, 0.0000, 0.7885], [0.0000, 0.0000, 0.2115], [0.5000, 0.5000, 0.0000]]}